[1]
Below is Cs2Sn3Sb5 after structural relaxation, with properties calculated at the PBE-GGA level.

M_tot, μB per atom: 0.00
Formation energy from raw total energies, eV/atom: -0.158

Unit cell a=12.6975 b=15.0370 c=7.9871 alpha=90.00 beta=90.00 gamma=90.00
Space group Ibam (No. 72)
One atom of each set of equivalent atoms:
Cs 0.2491 0.1273 0.0000 x8
Sn 0.0000 0.0000 0.2500 x4
Sn 0.1138 0.3788 0.0000 x8
Sb 0.0000 0.2564 0.2500 x8
Sb 0.0000 0.5000 0.2500 x4
Sb 0.1013 0.1273 0.5000 x8

[2]
Below is TlIn2Ir after structural relaxation, with properties calculated at the PBE-GGA level.

Formation enthalpy at 0 K, eV/atom: 0.13
M_tot, μB per atom: 0.00
Energy relative to the lowest polymorph listed for this composition, meV/atom: 101

Unit cell a=7.6584 b=3.1795 c=8.2626 alpha=90.00 beta=98.13 gamma=90.00
Space group C2/m (No. 12)
One atom of each set of equivalent atoms:
Tl 0.0000 0.0000 0.0000 x2
In 0.2362 0.0000 0.6898 x4
Ir 0.0000 0.5000 0.5000 x2

[3]
Below is CrAgP2 after structural relaxation, with properties calculated at the PBE-GGA level.

Formation enthalpy at 0 K, eV/atom: 0.21
M_tot, μB per atom: 0.25
Energy relative to the lowest polymorph listed for this composition, meV/atom: 259

Unit cell a=5.5640 b=5.5640 c=10.5132 alpha=90.00 beta=90.00 gamma=90.00
Space group I-42d (No. 122)
One atom of each set of equivalent atoms:
Cr 0.0000 0.0000 0.0000 x4
Ag 0.0000 0.0000 0.5000 x4
P 0.2045 0.2500 0.1250 x8

[4]
Below is Li2FeSb after structural relaxation, with properties calculated at the PBE-GGA level.

M_tot, μB per atom: 0.72
Formation energy from raw total energies, eV/atom: 0.305

Unit cell a=3.0450 b=3.0450 c=27.4353 alpha=90.00 beta=90.00 gamma=120.00
Space group R-3m (No. 166, hexagonal axes)
One atom of each set of equivalent atoms:
Li 0.0000 0.0000 0.2480 x6
Fe 0.0000 0.0000 0.5000 x3
Sb 0.0000 0.0000 0.0000 x3

[5]
Below is ZnHgPbW2 after structural relaxation, with properties calculated at the PBE-GGA level.

Formation enthalpy at 0 K, eV/atom: 1.91
M_tot, μB per atom: 0.65

Unit cell a=4.7678 b=4.7678 c=5.1449 alpha=90.00 beta=90.00 gamma=90.00
Space group P4/mmm (No. 123)
One atom of each set of equivalent atoms:
Zn 0.0000 0.0000 0.0000 x1
Hg 0.5000 0.5000 0.5000 x1
Pb 0.0000 0.0000 0.5000 x1
W 0.0000 0.5000 0.0000 x2

[6]
Below is Sr2LiGa3Ag4 after structural relaxation, with properties calculated at the PBE-GGA level.

Formation enthalpy at 0 K, eV/atom: -0.30
M_tot, μB per atom: 0.00

Unit cell a=4.4847 b=4.4847 c=11.2220 alpha=90.00 beta=90.00 gamma=90.00
Space group P-4m2 (No. 115)
One atom of each set of equivalent atoms:
Sr 0.0000 0.5000 0.2461 x2
Li 0.0000 0.0000 0.5000 x1
Ga 0.0000 0.5000 0.8678 x2
Ga 0.5000 0.5000 0.5000 x1
Ag 0.0000 0.0000 0.0000 x1
Ag 0.0000 0.5000 0.6321 x2
Ag 0.5000 0.5000 0.0000 x1